# Y2TiCuPb | the Alexandria database | meta-GGA SCAN | PBEsol geometry
data_Y2TiCuPb
_chemical_formula_sum 'Y2 Ti1 Cu1 Pb1'
_cell_length_a 5.672
_cell_length_b 5.672
_cell_length_c 5.122
_cell_angle_alpha 90.00
_cell_angle_beta 90.00
_cell_angle_gamma 90.00
_space_group_name_H-M_alt 'P 4/m m m'
_space_group_IT_number 123
_space_group_name_Hall '-P 4 2'
loop_
_atom_site_label
_atom_site_fract_x
_atom_site_fract_y
_atom_site_fract_z
_atom_site_occupancy
Y1 0.000 0.500 0.000 1
Ti1 0.000 0.000 0.500 1
Cu1 0.500 0.500 0.500 1
Pb1 0.000 0.000 0.000 1
# M_tot in μB per atom: 0.78
# DFT total energy in eV per atom: -31.7931
# Calculated volume in Å³ per atom: 32.96



# KNiAs2 | the Alexandria database | meta-GGA SCAN | PBEsol geometry
data_KNiAs2
_chemical_formula_sum 'K3 Ni3 As6'
_cell_length_a 3.7894
_cell_length_b 3.7894
_cell_length_c 20.1889
_cell_angle_alpha 90.00
_cell_angle_beta 90.00
_cell_angle_gamma 120.00
_space_group_name_H-M_alt 'R -3 m'
_space_group_IT_number 166
_space_group_name_Hall '-R 3 2"'
loop_
_atom_site_label
_atom_site_fract_x
_atom_site_fract_y
_atom_site_fract_z
_atom_site_occupancy
K1 0.0000 0.0000 0.0000 1
Ni1 0.0000 0.0000 0.5000 1
As1 0.0000 0.0000 0.2137 1
# Polymorph energy (0 for the lowest one) in eV/atom: 0.0000
# M_tot in μB per atom: 0.00
# Calculated volume in Å³ per atom: 20.92



# LiPI2N | the Alexandria database | meta-GGA SCAN | PBEsol geometry
data_LiPI2N
_chemical_formula_sum 'Li1 P1 I2 N1'
_cell_length_a 5.802
_cell_length_b 5.802
_cell_length_c 3.399
_cell_angle_alpha 90.00
_cell_angle_beta 90.00
_cell_angle_gamma 90.00
_space_group_name_H-M_alt 'P 4/m m m'
_space_group_IT_number 123
_space_group_name_Hall '-P 4 2'
loop_
_atom_site_label
_atom_site_fract_x
_atom_site_fract_y
_atom_site_fract_z
_atom_site_occupancy
Li1 0.000 0.000 0.000 1
P1 0.500 0.500 0.500 1
I1 0.000 0.500 0.500 1
N1 0.500 0.500 0.000 1
# M_tot in μB per atom: 0.00
# DFT total energy in eV per atom: -18.9781
# Calculated volume in Å³ per atom: 22.88



# NaAl2Ag2 | the Alexandria database | meta-GGA SCAN | PBEsol geometry
data_NaAl2Ag2
_chemical_formula_sum 'Na2 Al4 Ag4'
_cell_length_a 8.008
_cell_length_b 8.008
_cell_length_c 2.775
_cell_angle_alpha 90.00
_cell_angle_beta 90.00
_cell_angle_gamma 90.00
_space_group_name_H-M_alt 'P 4/m b m'
_space_group_IT_number 127
_space_group_name_Hall '-P 4 2ab'
loop_
_atom_site_label
_atom_site_fract_x
_atom_site_fract_y
_atom_site_fract_z
_atom_site_occupancy
Na1 0.000 0.000 0.000 1
Al1 0.125 0.375 0.000 1
Ag1 0.172 0.672 0.500 1
# M_tot in μB per atom: 0.00
# DFT total energy in eV per atom: -16.6488
# Calculated volume in Å³ per atom: 17.79



# LaMg4Mo | the Alexandria database | meta-GGA SCAN | PBEsol geometry
data_LaMg4Mo
_chemical_formula_sum 'La4 Mg16 Mo4'
_cell_length_a 8.125
_cell_length_b 8.125
_cell_length_c 8.125
_cell_angle_alpha 90.00
_cell_angle_beta 90.00
_cell_angle_gamma 90.00
_space_group_name_H-M_alt 'F -4 3 m'
_space_group_IT_number 216
_space_group_name_Hall 'F -4 2 3'
loop_
_atom_site_label
_atom_site_fract_x
_atom_site_fract_y
_atom_site_fract_z
_atom_site_occupancy
La1 0.000 0.000 0.000 1
Mg1 0.124 0.124 0.376 1
Mo1 0.250 0.250 0.750 1
# M_tot in μB per atom: 0.50
# DFT total energy in eV per atom: -16.0464
# Calculated volume in Å³ per atom: 22.35



# Ca2AsCl | the Alexandria database | meta-GGA SCAN | PBEsol geometry
data_Ca2AsCl
_chemical_formula_sum 'Ca4 As2 Cl2'
_cell_length_a 7.296
_cell_length_b 7.299
_cell_length_c 3.635
_cell_angle_alpha 90.00
_cell_angle_beta 102.88
_cell_angle_gamma 90.00
_space_group_name_H-M_alt 'C 1 2/m 1'
_space_group_IT_number 12
loop_
_space_group_symop_operation_xyz
'x,y,z'
'-x,-y,-z'
'-x,y,-z'
'x,-y,z'
'x+1/2,y+1/2,z'
'-x+1/2,-y+1/2,-z'
'-x+1/2,y+1/2,-z'
'x+1/2,-y+1/2,z'
loop_
_atom_site_label
_atom_site_fract_x
_atom_site_fract_y
_atom_site_fract_z
_atom_site_occupancy
Ca1 0.250 0.250 0.000 1
As1 0.000 0.000 0.500 1
Cl1 0.000 0.500 0.500 1
# M_tot in μB per atom: 0.00
# DFT total energy in eV per atom: -13.4129
# Calculated volume in Å³ per atom: 23.59



Number 1: density of states at the Fermi level 4.29 states/eV/f.u.. Number 2: density of states at the Fermi level 1.23 states/eV/f.u.. Number 3: density of states at the Fermi level 2.23 states/eV/f.u.. Number 4: density of states at the Fermi level 0.98 states/eV/f.u.. Number 5: density of states at the Fermi level 2.14 states/eV/f.u.. Number 6: density of states at the Fermi level 0.38 states/eV/f.u..